# PBE TbUCoS4, optimized geometry
# **Formation energy without anion corrections**: -1.31 eV/atom
# **Total DFT energy (no corrections)**: -97.42 eV/cell
data_TbUCoS4
_chemical_formula_sum 'Tb2 U2 Co2 S8'
_space_group_name_H-M_alt 'P 1 21/m 1'
_space_group_IT_number 11
_space_group_name_Hall '-P 2yb'
_cell_length_a 6.313
_cell_length_b 5.690
_cell_length_c 7.634
_cell_angle_alpha 90.00
_cell_angle_beta 106.00
_cell_angle_gamma 90.00
loop_
_atom_site_label
_atom_site_type_symbol
_atom_site_fract_x
_atom_site_fract_y
_atom_site_fract_z
Tb1 Tb 0.240 0.250 0.437
U1 U 0.257 0.250 0.944
Co1 Co 0.260 0.750 0.167
S1 S 0.069 0.750 0.375
S2 S 0.071 0.750 0.889
S3 S 0.484 0.509 0.746